SmErLuZr PBE relaxed; M_tot = 0.37 μB per atom; total energy = -0.396 Ry per atom; symmetry = F-43m, No. 216
1.0
0.000 3.863 3.863
3.863 0.000 3.863
3.863 3.863 0.000
Sm Er Lu Zr
1 1 1 1
Direct
0.000 0.000 0.000
0.250 0.250 0.250
0.750 0.750 0.750
0.500 0.500 0.500

=====

ErLuSn PBE relaxed; M_tot = 0.00 μB per atom; total energy = -0.345 Ry per atom; symmetry = P3m1, No. 156
1.0
5.104 0.000 0.000
-2.552 4.420 0.000
0.000 0.000 3.680
Er Lu Sn
1 1 1
Direct
0.000 0.000 0.000
0.667 0.333 0.452
0.333 0.667 0.700

=====

ErLuSn PBE relaxed; M_tot = 0.00 μB per atom; total energy = -0.305 Ry per atom; symmetry = I4mm, No. 107
1.0
-1.655 1.655 8.658
1.655 -1.655 8.658
1.655 1.655 -8.658
Er Lu Sn
1 1 1
Direct
0.000 0.000 0.000
0.198 0.198 0.000
0.374 0.374 0.000